Entry 1:
First-principles (PBE-GGA) data for crystalline TbBeNi4 at its relaxed geometry, as listed in Alexandria.

Output
E_tot (eV/atom): -5.565
Size of the total moment (μB per formula unit): 0.000
DFT formation energy (eV/f.u.): -1.91
Crystal system: orthorhombic

a b c (Å): 6.874 3.556 6.360
angles (deg): 90.00 90.00 90.00
Element x y z (fractional)
Tb (0.250, 0.000, 0.123)
Tb (0.750, 0.000, 0.877)
Be (0.250, 0.000, 0.693)
Be (0.750, 0.000, 0.307)
Ni (0.000, 0.000, 0.500)
Ni (0.064, 0.500, 0.792)
Ni (0.250, 0.500, 0.464)
Ni (0.436, 0.500, 0.792)
Ni (0.500, 0.000, 0.500)
Ni (0.564, 0.500, 0.208)
Ni (0.750, 0.500, 0.536)
Ni (0.936, 0.500, 0.208)

Entry 2:
First-principles (PBE-GGA) data for crystalline Ac2NdRh9 at its relaxed geometry, as listed in Alexandria.

Output
E_tot (eV/atom): -7.044
Size of the total moment (μB per formula unit): 0.000
DFT formation energy (eV/f.u.): -5.38
Crystal system: trigonal

a b c (Å): 9.583 9.583 9.583
angles (deg): 32.62 32.62 32.62
Element x y z (fractional)
Ac (0.138, 0.138, 0.138)
Ac (0.862, 0.862, 0.862)
Nd (0.000, 0.000, 0.000)
Rh (0.081, 0.578, 0.578)
Rh (0.333, 0.333, 0.333)
Rh (0.422, 0.422, 0.919)
Rh (0.422, 0.919, 0.422)
Rh (0.500, 0.500, 0.500)
Rh (0.578, 0.081, 0.578)
Rh (0.578, 0.578, 0.081)
Rh (0.667, 0.667, 0.667)
Rh (0.919, 0.422, 0.422)

Entry 3:
First-principles (PBE-GGA) data for crystalline La5Pm3Nd4 at its relaxed geometry, as listed in Alexandria.

Output
E_tot (eV/atom): -4.620
Relative energy among the computed polymorphs (meV per atom): 195.6
Size of the total moment (μB per formula unit): 0.000
DFT formation energy (eV/f.u.): 2.53
Crystal system: monoclinic

a b c (Å): 9.778 9.778 9.081
angles (deg): 117.48 117.48 35.24
Element x y z (fractional)
La (0.000, 0.000, 0.000)
La (0.334, 0.334, 0.101)
La (0.395, 0.395, 0.573)
La (0.605, 0.605, 0.427)
La (0.666, 0.666, 0.899)
Pm (0.183, 0.183, 0.223)
Pm (0.500, 0.500, 0.000)
Pm (0.817, 0.817, 0.777)
Nd (0.032, 0.032, 0.705)
Nd (0.200, 0.200, 0.647)
Nd (0.800, 0.800, 0.353)
Nd (0.968, 0.968, 0.295)

Entry 4:
First-principles (PBE-GGA) data for crystalline PaSnIrO6 at its relaxed geometry, as listed in Alexandria.

Output
E_tot (eV/atom): -7.810
Formation energy without anion corrections (eV/atom): -2.02
Size of the total moment (μB per formula unit): 0.000
Crystal system: trigonal

a b c (Å): 5.260 5.260 9.652
angles (deg): 90.00 90.00 120.00
Element x y z (fractional)
Pa (0.333, 0.667, 0.250)
Pa (0.667, 0.333, 0.750)
Sn (0.000, 0.000, 0.000)
Sn (0.000, 0.000, 0.500)
Ir (0.333, 0.667, 0.750)
Ir (0.667, 0.333, 0.250)
O (0.019, 0.339, 0.625)
O (0.019, 0.679, 0.875)
O (0.321, 0.339, 0.875)
O (0.321, 0.981, 0.625)
O (0.339, 0.019, 0.125)
O (0.339, 0.321, 0.375)
O (0.661, 0.679, 0.625)
O (0.661, 0.981, 0.875)
O (0.679, 0.019, 0.375)
O (0.679, 0.661, 0.125)
O (0.981, 0.321, 0.125)
O (0.981, 0.661, 0.375)

Entry 5:
First-principles (PBE-GGA) data for crystalline Ce3HoZr2P6 at its relaxed geometry, as listed in Alexandria.

Output
E_tot (eV/atom): -7.487
Size of the total moment (μB per formula unit): 0.002
DFT formation energy (eV/f.u.): -17.91
Crystal system: monoclinic

a b c (Å): 6.821 6.821 6.833
angles (deg): 99.59 99.59 120.01
Element x y z (fractional)
Ce (0.000, 0.000, 0.000)
Ce (0.336, 0.664, 0.000)
Ce (0.664, 0.336, 0.000)
Ho (0.500, 0.500, 0.500)
Zr (0.167, 0.833, 0.500)
Zr (0.833, 0.167, 0.500)
P (0.081, 0.421, 0.264)
P (0.237, 0.237, 0.733)
P (0.421, 0.081, 0.264)
P (0.579, 0.919, 0.736)
P (0.763, 0.763, 0.267)
P (0.919, 0.579, 0.736)

Entry 6:
First-principles (PBE-GGA) data for crystalline Ce5Th3Sb8 at its relaxed geometry, as listed in Alexandria.

Output
E_tot (eV/atom): -6.316
Formation energy without anion corrections (eV/atom): -1.01
Size of the total moment (μB per formula unit): 4.907
Crystal system: trigonal

a b c (Å): 9.020 9.020 9.020
angles (deg): 59.91 59.91 59.91
Element x y z (fractional)
Ce (0.000, 0.000, 0.000)
Ce (0.000, 0.500, 0.500)
Ce (0.500, 0.000, 0.500)
Ce (0.500, 0.500, 0.000)
Ce (0.500, 0.500, 0.500)
Th (0.000, 0.000, 0.500)
Th (0.000, 0.500, 0.000)
Th (0.500, 0.000, 0.000)
Sb (0.250, 0.250, 0.250)
Sb (0.250, 0.250, 0.750)
Sb (0.250, 0.750, 0.250)
Sb (0.250, 0.750, 0.750)
Sb (0.750, 0.250, 0.250)
Sb (0.750, 0.250, 0.750)
Sb (0.750, 0.750, 0.250)
Sb (0.750, 0.750, 0.750)

> Which value of E_tot does entry 4 give?

-7.810 eV/atom